No. 1
The following is a GGA-PBE calculation of a relaxed Pm5Pr4Y3 crystal, from Alexandria.

Results
ΔE_f: 211 meV per atom
DFT total energy: -0.36585 Ry per atom

abc: 6.028 8.773 9.875
angles: 105.68 72.23 69.91
Atoms (fractional coordinates):
Pr1 0.839 0.943 0.379
Pr2 0.161 0.057 0.621
Pr3 0.861 0.223 0.055
Pr4 0.139 0.777 0.945
Pm1 0.372 0.056 0.201
Pm2 0.782 0.546 0.889
Pm3 0.218 0.454 0.111
Pm4 0.500 0.500 0.500
Pm5 0.628 0.944 0.799
Y1 0.480 0.311 0.729
Y2 0.520 0.689 0.271
Y3 0.000 0.500 0.500

No. 2
The following is a GGA-PBE calculation of a relaxed Si2Os crystal, from Alexandria.

Results
energy relative to the elements, uncorrected: -110 meV per atom
DFT total energy: -0.54893 Ry per atom

abc: 2.961 2.961 5.531
angles: 90.00 90.00 120.00
Atoms (fractional coordinates):
Os1 0.000 0.000 0.000
Si1 0.667 0.333 0.675
Si2 0.333 0.667 0.325

No. 3
The following is a GGA-PBE calculation of a relaxed CaDyIn crystal, from Alexandria.

Results
energy relative to the lowest polymorph listed for this composition: 0.000 eV/atom
ΔE_f: -377 meV per atom
DFT total energy: -0.25661 Ry per atom

abc: 5.421 5.421 6.885
angles: 90.00 90.00 120.01
Atoms (fractional coordinates):
Dy1 0.333 0.167 0.750
Dy2 0.667 0.833 0.250
In1 0.667 0.833 0.750
In2 0.333 0.167 0.250
Ca1 0.000 0.500 0.000
Ca2 0.000 0.500 0.500

No. 4
The following is a GGA-PBE calculation of a relaxed PrThZnHg crystal, from Alexandria.

Results
ΔE_f: -236 meV per atom
DFT total energy: -0.27048 Ry per atom

abc: 5.341 5.341 5.341
angles: 60.00 60.00 60.00
Atoms (fractional coordinates):
Zn1 0.000 0.000 0.000
Hg1 0.500 0.500 0.500
Th1 0.250 0.250 0.250
Pr1 0.750 0.750 0.750

No. 5
The following is a GGA-PBE calculation of a relaxed ZnCdAg2Au crystal, from Alexandria.

Results
ΔE_f: -59 meV per atom
DFT total energy: -0.16850 Ry per atom

abc: 2.936 7.234 8.914
angles: 90.00 90.00 101.71
Atoms (fractional coordinates):
Cd1 0.842 0.685 0.750
Cd2 0.158 0.315 0.250
Au1 0.471 0.942 0.250
Au2 0.529 0.058 0.750
Ag1 0.817 0.633 0.412
Ag2 0.817 0.633 0.088
Ag3 0.183 0.367 0.588
Ag4 0.183 0.367 0.912
Zn1 0.000 0.000 0.000
Zn2 0.000 0.000 0.500

No. 6
The following is a GGA-PBE calculation of a relaxed Pr6TlIr3 crystal, from Alexandria.

Results
ΔE_f: -500 meV per atom
DFT total energy: -0.46028 Ry per atom

abc: 4.251 12.160 12.418
angles: 107.68 90.00 90.00
Atoms (fractional coordinates):
Pr1 0.750 0.788 0.765
Pr2 0.750 0.473 0.609
Pr3 0.250 0.295 0.737
Pr4 0.750 0.391 0.050
Pr5 0.750 0.705 0.263
Pr6 0.250 0.851 0.533
Pr7 0.750 0.927 0.087
Pr8 0.250 0.527 0.391
Pr9 0.250 0.073 0.913
Pr10 0.750 0.149 0.467
Pr11 0.250 0.212 0.235
Pr12 0.250 0.609 0.950
Ir1 0.250 0.841 0.923
Ir2 0.250 0.319 0.499
Ir3 0.750 0.159 0.077
Ir4 0.750 0.681 0.501
Ir5 0.750 0.455 0.836
Ir6 0.250 0.545 0.164
Tl1 0.750 0.052 0.694
Tl2 0.250 0.948 0.306

No. 7
The following is a GGA-PBE calculation of a relaxed OsPdSeBr2 crystal, from Alexandria.

Results
energy relative to the lowest polymorph listed for this composition: 0.000 eV/atom
energy relative to the elements, uncorrected: 745 meV per atom
DFT total energy: -0.28702 Ry per atom

abc: 5.248 5.248 4.609
angles: 90.00 90.00 90.00
Atoms (fractional coordinates):
Se1 0.000 0.000 0.500
Br1 0.500 0.000 0.000
Br2 0.000 0.500 0.000
Os1 0.000 0.000 0.000
Pd1 0.500 0.500 0.500

No. 8
The following is a GGA-PBE calculation of a relaxed Na2PtCl6 crystal, from Alexandria.

Results
energy relative to the lowest polymorph listed for this composition: 0.052 eV/atom
energy relative to the elements, uncorrected: -1029 meV per atom
DFT total energy: -0.23701 Ry per atom

abc: 6.300 6.300 11.945
angles: 90.00 90.00 90.00
Atoms (fractional coordinates):
Cl1 0.819 0.181 0.857
Cl2 0.181 0.819 0.857
Cl3 0.319 0.319 0.643
Cl4 0.264 0.264 0.000
Cl5 0.236 0.764 0.500
Cl6 0.736 0.736 0.000
Cl7 0.681 0.681 0.643
Cl8 0.319 0.319 0.357
Cl9 0.819 0.181 0.143
Cl10 0.181 0.819 0.143
Cl11 0.764 0.236 0.500
Cl12 0.681 0.681 0.357
Na1 0.500 0.500 0.166
Na2 0.000 0.000 0.666
Na3 0.500 0.500 0.834
Na4 0.000 0.000 0.334
Pt1 0.500 0.500 0.500
Pt2 0.000 0.000 0.000

No. 9
The following is a GGA-PBE calculation of a relaxed Nd4Sm5Sc3 crystal, from Alexandria.

Results
ΔE_f: 200 meV per atom
DFT total energy: -0.36296 Ry per atom

abc: 5.839 8.598 9.566
angles: 105.92 72.23 70.15
Atoms (fractional coordinates):
Nd1 0.860 0.224 0.055
Nd2 0.160 0.061 0.620
Nd3 0.140 0.776 0.945
Nd4 0.840 0.939 0.380
Sm1 0.500 0.500 0.500
Sm2 0.638 0.936 0.789
Sm3 0.790 0.538 0.882
Sm4 0.210 0.462 0.118
Sm5 0.362 0.064 0.211
Sc1 0.000 0.500 0.500
Sc2 0.519 0.694 0.268
Sc3 0.481 0.306 0.732

No. 10
The following is a GGA-PBE calculation of a relaxed Ti4Co2Os crystal, from Alexandria.

Results
ΔE_f: -287 meV per atom
DFT total energy: -0.61984 Ry per atom

abc: 5.180 5.180 5.180
angles: 108.65 109.88 109.88
Atoms (fractional coordinates):
Co1 0.500 0.500 0.000
Co2 0.500 0.000 0.500
Os1 0.000 0.000 0.000
Ti1 0.500 0.500 0.500
Ti2 0.000 0.500 0.000
Ti3 0.500 0.000 0.000
Ti4 0.000 0.000 0.500

No. 11
The following is a GGA-PBE calculation of a relaxed Tb3SmDy2Y6 crystal, from Alexandria.

Results
ΔE_f: 18 meV per atom
DFT total energy: -0.40656 Ry per atom

abc: 6.179 6.179 11.818
angles: 94.98 94.98 119.95
Atoms (fractional coordinates):
Dy1 0.667 0.333 0.000
Dy2 0.333 0.667 0.000
Sm1 0.000 0.000 0.000
Y1 0.084 0.418 0.250
Y2 0.750 0.750 0.250
Y3 0.250 0.250 0.750
Y4 0.916 0.582 0.750
Y5 0.418 0.084 0.250
Y6 0.582 0.916 0.750
Tb1 0.167 0.833 0.500
Tb2 0.833 0.167 0.500
Tb3 0.500 0.500 0.500

No. 12
The following is a GGA-PBE calculation of a relaxed Sc2Ga4Ru crystal, from Alexandria.

Results
ΔE_f: -137 meV per atom
DFT total energy: -0.36754 Ry per atom

abc: 4.649 4.649 7.672
angles: 72.36 72.36 90.00
Atoms (fractional coordinates):
Sc1 0.626 0.626 0.747
Sc2 0.374 0.374 0.253
Ga1 0.500 0.000 0.000
Ga2 0.180 0.180 0.639
Ga3 0.000 0.500 0.000
Ga4 0.820 0.820 0.361
Ru1 0.000 0.000 0.000

No. 13
The following is a GGA-PBE calculation of a relaxed ScCo2Rh crystal, from Alexandria.

Results
ΔE_f: 232 meV per atom
DFT total energy: -0.49553 Ry per atom

abc: 8.582 8.582 8.582
angles: 18.75 18.75 18.75
Atoms (fractional coordinates):
Co1 0.503 0.503 0.503
Co2 0.997 0.997 0.997
Rh1 0.250 0.250 0.250
Sc1 0.750 0.750 0.750

No. 14
The following is a GGA-PBE calculation of a relaxed Zn4RuW crystal, from Alexandria.

Results
ΔE_f: 188 meV per atom
DFT total energy: -0.32093 Ry per atom

abc: 4.897 4.897 4.897
angles: 60.00 60.00 60.00
Atoms (fractional coordinates):
Zn1 0.375 0.375 0.876
Zn2 0.876 0.375 0.375
Zn3 0.375 0.876 0.375
Zn4 0.375 0.375 0.375
Ru1 0.750 0.750 0.750
W1 0.000 0.000 0.000

No. 15
The following is a GGA-PBE calculation of a relaxed Mg2PaPt5 crystal, from Alexandria.

Results
ΔE_f: -940 meV per atom
DFT total energy: -0.46313 Ry per atom

abc: 4.160 4.160 8.444
angles: 104.26 104.26 90.00
Atoms (fractional coordinates):
Pt1 0.500 0.500 0.000
Pt2 0.870 0.370 0.740
Pt3 0.130 0.630 0.260
Pt4 0.370 0.870 0.740
Pt5 0.630 0.130 0.260
Pa1 0.000 0.000 0.000
Mg1 0.748 0.748 0.495
Mg2 0.252 0.252 0.505

No. 16
The following is a GGA-PBE calculation of a relaxed NpGe2Pd crystal, from Alexandria.

Results
ΔE_f: -213 meV per atom
DFT total energy: -0.51853 Ry per atom

abc: 4.164 4.269 4.269
angles: 90.00 90.00 90.00
Atoms (fractional coordinates):
Ge1 0.000 0.000 0.500
Ge2 0.000 0.500 0.000
Pd1 0.500 0.000 0.000
Np1 0.500 0.500 0.500

No. 17
The following is a GGA-PBE calculation of a relaxed SrLi2Hg2Pb crystal, from Alexandria.

Results
ΔE_f: -412 meV per atom
DFT total energy: -0.15062 Ry per atom

abc: 4.884 4.884 7.310
angles: 90.00 90.00 120.00
Atoms (fractional coordinates):
Hg1 0.667 0.333 0.752
Hg2 0.333 0.667 0.248
Pb1 0.000 0.000 0.500
Sr1 0.000 0.000 0.000
Li1 0.667 0.333 0.354
Li2 0.333 0.667 0.646

No. 18
The following is a GGA-PBE calculation of a relaxed HfP2AuO crystal, from Alexandria.

Results
energy relative to the lowest polymorph listed for this composition: 0.000 eV/atom
energy relative to the elements, uncorrected: -312 meV per atom
DFT total energy: -0.44935 Ry per atom

abc: 5.154 5.154 3.876
angles: 90.00 90.00 90.00
Atoms (fractional coordinates):
O1 0.000 0.000 0.500
P1 0.000 0.500 0.000
P2 0.500 0.000 0.000
Hf1 0.000 0.000 0.000
Au1 0.500 0.500 0.500

No. 19
The following is a GGA-PBE calculation of a relaxed PrPu2Cu2Ge2 crystal, from Alexandria.

Results
ΔE_f: -271 meV per atom
DFT total energy: -0.55401 Ry per atom

abc: 4.053 4.053 9.462
angles: 77.63 77.63 60.00
Atoms (fractional coordinates):
Pr1 0.000 0.000 0.000
Ge1 0.742 0.742 0.774
Ge2 0.258 0.258 0.226
Cu1 0.583 0.583 0.252
Cu2 0.417 0.417 0.748
Pu1 0.848 0.848 0.455
Pu2 0.152 0.152 0.545

No. 20
The following is a GGA-PBE calculation of a relaxed CoRu2Cl crystal, from Alexandria.

Results
energy relative to the lowest polymorph listed for this composition: 0.330 eV/atom
energy relative to the elements, uncorrected: 684 meV per atom
DFT total energy: -0.45509 Ry per atom

abc: 3.902 2.837 5.192
angles: 73.62 90.00 90.00
Atoms (fractional coordinates):
Co1 0.500 0.750 0.750
Cl1 0.500 0.250 0.250
Ru1 0.000 0.363 0.493
Ru2 0.000 0.137 0.007